# TbHoScAg (PBE, relaxed)
data_TbHoScAg
_chemical_formula_sum 'Tb1 Ho1 Sc1 Ag1'
_space_group_name_H-M_alt 'P 1'
_space_group_IT_number 1
_cell_length_a 5.260
_cell_length_b 5.260
_cell_length_c 5.260
_cell_angle_alpha 60.00
_cell_angle_beta 60.00
_cell_angle_gamma 60.00
loop_
_space_group_symop_operation_xyz
'x,y,z'
loop_
_atom_site_label
_atom_site_fract_x
_atom_site_fract_y
_atom_site_fract_z
Tb1 0.000 0.000 0.000
Ag1 0.250 0.250 0.250
Ho1 0.500 0.500 0.500
Sc1 0.750 0.750 0.750
# calculated formation energy = 0.1 eV/f.u.


# PmTmRh (PBE, relaxed)
data_PmTmRh
_chemical_formula_sum 'Pm2 Tm2 Rh2'
_space_group_name_H-M_alt 'P 1'
_space_group_IT_number 1
_cell_length_a 4.494
_cell_length_b 5.773
_cell_length_c 6.475
_cell_angle_alpha 106.70
_cell_angle_beta 90.00
_cell_angle_gamma 90.00
loop_
_space_group_symop_operation_xyz
'x,y,z'
loop_
_atom_site_label
_atom_site_fract_x
_atom_site_fract_y
_atom_site_fract_z
Tm1 0.752 0.980 0.801
Tm2 0.252 0.028 0.203
Pm1 0.752 0.574 0.285
Pm2 0.252 0.433 0.718
Rh1 0.752 0.161 0.446
Rh2 0.252 0.847 0.557
# calculated formation energy = -1.7 eV/f.u.


# Sm3ErRu2 (PBE, relaxed)
data_Sm3ErRu2
_chemical_formula_sum 'Sm6 Er2 Ru4'
_space_group_name_H-M_alt 'P 1'
_space_group_IT_number 1
_cell_length_a 6.408
_cell_length_b 6.875
_cell_length_c 6.875
_cell_angle_alpha 90.28
_cell_angle_beta 90.00
_cell_angle_gamma 90.00
loop_
_space_group_symop_operation_xyz
'x,y,z'
loop_
_atom_site_label
_atom_site_fract_x
_atom_site_fract_y
_atom_site_fract_z
Ru1 0.000 0.744 0.744
Ru2 0.000 0.256 0.256
Ru3 0.500 0.744 0.744
Ru4 0.500 0.256 0.256
Sm1 0.750 0.069 0.931
Sm2 0.250 0.067 0.568
Sm3 0.750 0.568 0.067
Sm4 0.750 0.933 0.432
Sm5 0.250 0.432 0.933
Sm6 0.250 0.931 0.069
Er1 0.750 0.434 0.566
Er2 0.250 0.566 0.434
# calculated formation energy = -1.5 eV/f.u.


- Number 2 is which compound?
  PmTmRh